[1]
VASP calculation (PBE) on crystalline CaInReRh2 at its relaxed geometry.

Properties
Calculated total energy in eV/f.u.: -22.15

a = 4.6475 Å, b = 4.6475 Å, c = 5.2423 Å
α = 90.00°, β = 90.00°, γ = 90.00°
Space group P4/mmm (No. 123)
Inequivalent atoms, fractional coordinates:
Ca (0.0000, 0.0000, 0.0000) [1 per cell]
In (0.0000, 0.0000, 0.5000) [1 per cell]
Re (0.5000, 0.5000, 0.5000) [1 per cell]
Rh (0.0000, 0.5000, 0.0000) [2 per cell]


[2]
VASP calculation (PBE) on crystalline Tb3Ce4NdTe8 at its relaxed geometry.

Properties
Formation energy (no corrections) in meV/atom: -1361.5

a = 8.8469 Å, b = 8.8469 Å, c = 22.0369 Å
α = 90.00°, β = 90.00°, γ = 120.00°
Space group R-3m (No. 166, hexagonal axes)
Inequivalent atoms, fractional coordinates:
Tb (0.0000, 0.5000, 0.0000) [9 per cell]
Ce (0.0000, 0.0000, 0.5000) [3 per cell]
Ce (0.0000, 0.5000, 0.5000) [9 per cell]
Nd (0.0000, 0.0000, 0.0000) [3 per cell]
Te (0.0000, 0.0000, 0.2533) [6 per cell]
Te (0.0048, 0.5024, 0.2522) [18 per cell]


[3]
VASP calculation (PBE) on crystalline Pm3Al2Pd6 at its relaxed geometry.

Properties
Calculated total energy in eV/f.u.: -62.34

a = 9.5878 Å, b = 9.5878 Å, c = 9.5878 Å
α = 90.00°, β = 90.00°, γ = 90.00°
Space group Im-3m (No. 229)
Inequivalent atoms, fractional coordinates:
Pm (0.0000, 0.0000, 0.2929) [12 per cell]
Al (0.2500, 0.2500, 0.2500) [8 per cell]
Pd (0.0000, 0.3275, 0.3275) [24 per cell]